Density functional theory data (GGA+U) for V3O5F after structural relaxation.

Values from the calculation:
- Energy relative to the lowest polymorph listed for this composition: 0 meV per atom
- Density: 4.32 g/cm3
- Space-group type: No. 7
- Volume: 10.7 Å³/atom

Lattice parameters (Å, degrees): 4.576 4.574 10.292 63.90 90.00 90.00
Last column: magnetic moment on the atom in μB.
Positions (direct):
O 0.057 0.305 0.497  -0.06
O 0.550 0.027 0.674  -0.07
O 0.040 0.615 0.175  -0.07
O 0.558 0.690 0.997  -0.06
O 0.450 0.027 0.174  -0.07
O 0.960 0.615 0.675  -0.07
O 0.060 0.969 0.833  -0.09
O 0.943 0.305 0.997  -0.06
O 0.442 0.690 0.497  -0.06
O 0.940 0.969 0.333  -0.09
V 0.747 0.987 0.508  1.88
V 0.754 0.341 0.153  1.18
V 0.784 0.696 0.833  1.13
V 0.253 0.987 0.008  1.88
V 0.216 0.696 0.333  1.13
V 0.246 0.341 0.653  1.18
F 0.540 0.369 0.331  0.00
F 0.460 0.369 0.831  0.00